Entry 1:
! RbLiN2O (SCAN, single point on PBEsol structure); values from VASP
&SYSTEM
  ibrav = 0, nat = 5, ntyp = 4
/
ATOMIC_SPECIES
Rb 85.47 Rb.upf
Li 6.94 Li.upf
N 14.01 N.upf
O 16.00 O.upf
ATOMIC_POSITIONS angstrom
Rb 0.0000 0.0000 0.0000
Li 2.2057 2.2057 1.9303
N 0.0000 2.2057 1.9303
N 2.2057 0.0000 1.9303
O 2.2057 2.2057 0.0000
CELL_PARAMETERS angstrom
4.4114 0.0000 0.0000
0.0000 4.4114 0.0000
0.0000 0.0000 3.8606
! Energy relative to the elements, uncorrected, eV/atom: 0.817
! Symmetry: No. 123



Entry 2:
! LiScNO2 (SCAN, single point on PBEsol structure); values from VASP
&SYSTEM
  ibrav = 0, nat = 5, ntyp = 4
/
ATOMIC_SPECIES
Li 6.94 Li.upf
Sc 44.96 Sc.upf
N 14.01 N.upf
O 16.00 O.upf
ATOMIC_POSITIONS angstrom
Li 0.0000 0.0000 0.0000
Sc 1.7834 1.7834 1.7066
N 0.0000 0.0000 1.7066
O 0.0000 1.7834 0.0000
O 1.7834 0.0000 0.0000
CELL_PARAMETERS angstrom
3.5669 0.0000 0.0000
0.0000 3.5669 0.0000
0.0000 0.0000 3.4133
! Energy relative to the elements, uncorrected, eV/atom: -0.904
! Symmetry: No. 123



Entry 3:
! SrLiN2O (SCAN, single point on PBEsol structure); values from VASP
&SYSTEM
  ibrav = 0, nat = 5, ntyp = 4
/
ATOMIC_SPECIES
Sr 87.62 Sr.upf
Li 6.94 Li.upf
N 14.01 N.upf
O 16.00 O.upf
ATOMIC_POSITIONS angstrom
Sr 0.0000 0.0000 0.0000
Li 2.4477 2.4477 2.2656
N 0.0000 2.4477 0.0000
N 2.4477 0.0000 0.0000
O 0.0000 0.0000 2.2656
CELL_PARAMETERS angstrom
4.8954 0.0000 0.0000
0.0000 4.8954 0.0000
0.0000 0.0000 4.5313
! Energy relative to the elements, uncorrected, eV/atom: 0.760
! Symmetry: No. 123



Entry 4:
! LiWN2O (SCAN, single point on PBEsol structure); values from VASP
&SYSTEM
  ibrav = 0, nat = 5, ntyp = 4
/
ATOMIC_SPECIES
Li 6.94 Li.upf
W 183.84 W.upf
N 14.01 N.upf
O 16.00 O.upf
ATOMIC_POSITIONS angstrom
Li 0.0000 0.0000 0.0000
W 1.7380 1.7380 1.6345
N 0.0000 1.7380 0.0000
N 1.7380 0.0000 0.0000
O 0.0000 0.0000 1.6345
CELL_PARAMETERS angstrom
3.4761 0.0000 0.0000
0.0000 3.4761 0.0000
0.0000 0.0000 3.2690
! Energy relative to the elements, uncorrected, eV/atom: 0.985
! Symmetry: No. 123